The following is a GGA-PBE calculation of a relaxed structure of Li5GePd3, from Alexandria.

Results
Energy of formation from the pure elements: -0.301 eV per atom
DFT total energy: -3.609 eV/atom
Size of the total moment: 0.00 μB/f.u.

The structure in CIF format:
```
data_Li5GePd3
_chemical_formula_sum 'Li10 Ge2 Pd6'
_cell_length_a 5.9513
_cell_length_b 5.9513
_cell_length_c 9.9794
_cell_angle_alpha 99.14
_cell_angle_beta 99.14
_cell_angle_gamma 104.60
_space_group_name_H-M_alt 'P 1'
_space_group_IT_number 1
_space_group_name_Hall 'P 1'
loop_
_atom_site_label
_atom_site_type_symbol
_atom_site_fract_x
_atom_site_fract_y
_atom_site_fract_z
Li1 Li 0.1272 0.6190 0.3509
Li2 Li 0.1587 0.1587 0.3432
Li3 Li 0.1706 0.1706 0.8472
Li4 Li 0.2351 0.7649 0.0000
Li5 Li 0.3810 0.8728 0.6491
Li6 Li 0.6190 0.1272 0.3509
Li7 Li 0.7649 0.2351 0.0000
Li8 Li 0.8294 0.8294 0.1529
Li9 Li 0.8413 0.8413 0.6568
Li10 Li 0.8728 0.3810 0.6491
Ge1 Ge 0.4937 0.4937 0.7505
Ge2 Ge 0.5063 0.5063 0.2495
Pd1 Pd 0.1726 0.1726 0.5912
Pd2 Pd 0.1758 0.1758 0.0989
Pd3 Pd 0.5000 0.5000 0.0000
Pd4 Pd 0.5000 0.5000 0.5000
Pd5 Pd 0.8242 0.8242 0.9011
Pd6 Pd 0.8274 0.8274 0.4088
```

=====

The following is a GGA-PBE calculation of a relaxed structure of CsLiCu3, from Alexandria.

Results
Excess energy over the best structure of this formula in the dataset: 0.0000 eV/atom
Energy of formation from the pure elements: 0.676 eV per atom
DFT total energy: -2.335 eV/atom
Size of the total moment: 0.00 μB/f.u.

The structure in CIF format:
```
data_CsLiCu3
_chemical_formula_sum 'Cs1 Li1 Cu3'
_cell_length_a 4.9291
_cell_length_b 4.9291
_cell_length_c 4.9291
_cell_angle_alpha 90.00
_cell_angle_beta 90.00
_cell_angle_gamma 90.00
_space_group_name_H-M_alt 'P 1'
_space_group_IT_number 1
_space_group_name_Hall 'P 1'
loop_
_atom_site_label
_atom_site_type_symbol
_atom_site_fract_x
_atom_site_fract_y
_atom_site_fract_z
Cs1 Cs 0.0000 0.0000 0.0000
Li1 Li 0.5000 0.5000 0.5000
Cu1 Cu 0.0000 0.5000 0.5000
Cu2 Cu 0.5000 0.0000 0.5000
Cu3 Cu 0.5000 0.5000 0.0000
```

=====

The following is a GGA-PBE calculation of a relaxed structure of BHPt4, from Alexandria.

Results
Excess energy over the best structure of this formula in the dataset: 0.0177 eV/atom
DFT total energy: -5.723 eV/atom
Size of the total moment: 0.00 μB/f.u.

The structure in CIF format:
```
data_BHPt4
_chemical_formula_sum 'B2 H2 Pt8'
_cell_length_a 7.3765
_cell_length_b 6.2996
_cell_length_c 5.6049
_cell_angle_alpha 76.33
_cell_angle_beta 56.08
_cell_angle_gamma 47.59
_space_group_name_H-M_alt 'P 1'
_space_group_IT_number 1
_space_group_name_Hall 'P 1'
loop_
_atom_site_label
_atom_site_type_symbol
_atom_site_fract_x
_atom_site_fract_y
_atom_site_fract_z
B1 B 0.1250 0.1250 0.1250
B2 B 0.8750 0.8750 0.8750
H1 H 0.3750 0.3750 0.3750
H2 H 0.6250 0.6250 0.6250
Pt1 Pt 0.0130 0.4816 0.7473
Pt2 Pt 0.2527 0.7419 0.9870
Pt3 Pt 0.2581 0.7473 0.4816
Pt4 Pt 0.4816 0.0130 0.2581
Pt5 Pt 0.5184 0.9870 0.7419
Pt6 Pt 0.7419 0.2527 0.5184
Pt7 Pt 0.7473 0.2581 0.0130
Pt8 Pt 0.9870 0.5184 0.2527
```

=====

The following is a GGA-PBE calculation of a relaxed structure of TlIr, from Alexandria.

Results
Energy of formation from the pure elements: 0.598 eV per atom
DFT total energy: -5.016 eV/atom
Size of the total moment: 0.00 μB/f.u.

The structure in CIF format:
```
data_TlIr
_chemical_formula_sum 'Tl6 Ir6'
_cell_length_a 10.2114
_cell_length_b 10.2114
_cell_length_c 4.2749
_cell_angle_alpha 90.00
_cell_angle_beta 90.00
_cell_angle_gamma 120.00
_space_group_name_H-M_alt 'P 1'
_space_group_IT_number 1
_space_group_name_Hall 'P 1'
loop_
_atom_site_label
_atom_site_type_symbol
_atom_site_fract_x
_atom_site_fract_y
_atom_site_fract_z
Tl1 Tl 0.1690 0.7700 0.2500
Tl2 Tl 0.2300 0.3990 0.2500
Tl3 Tl 0.3990 0.1690 0.7500
Tl4 Tl 0.6010 0.8310 0.2500
Tl5 Tl 0.7700 0.6010 0.7500
Tl6 Tl 0.8310 0.2300 0.7500
Ir1 Ir 0.0051 0.5552 0.7500
Ir2 Ir 0.4448 0.4499 0.7500
Ir3 Ir 0.4499 0.0051 0.2500
Ir4 Ir 0.5501 0.9949 0.7500
Ir5 Ir 0.5552 0.5501 0.2500
Ir6 Ir 0.9949 0.4448 0.2500
```

=====

The following is a GGA-PBE calculation of a relaxed structure of Ce5DyIr6, from Alexandria.

Results
Energy of formation from the pure elements: -0.686 eV per atom
DFT total energy: -7.972 eV/atom
Size of the total moment: 0.00 μB/f.u.

The structure in CIF format:
```
data_Ce5DyIr6
_chemical_formula_sum 'Ce5 Dy1 Ir6'
_cell_length_a 6.9808
_cell_length_b 6.9808
_cell_length_c 6.9711
_cell_angle_alpha 99.59
_cell_angle_beta 99.59
_cell_angle_gamma 120.05
_space_group_name_H-M_alt 'P 1'
_space_group_IT_number 1
_space_group_name_Hall 'P 1'
loop_
_atom_site_label
_atom_site_type_symbol
_atom_site_fract_x
_atom_site_fract_y
_atom_site_fract_z
Ce1 Ce 0.0000 0.0000 0.0000
Ce2 Ce 0.1660 0.8340 0.5000
Ce3 Ce 0.3323 0.6677 0.0000
Ce4 Ce 0.6677 0.3323 0.0000
Ce5 Ce 0.8340 0.1660 0.5000
Dy1 Dy 0.5000 0.5000 0.5000
Ir1 Ir 0.0793 0.4166 0.2495
Ir2 Ir 0.2479 0.2479 0.7540
Ir3 Ir 0.4166 0.0793 0.2495
Ir4 Ir 0.5834 0.9207 0.7505
Ir5 Ir 0.7521 0.7521 0.2460
Ir6 Ir 0.9207 0.5834 0.7505
```

=====

The following is a GGA-PBE calculation of a relaxed structure of TbNdPa, from Alexandria.

Results
Excess energy over the best structure of this formula in the dataset: 0.0000 eV/atom
Energy of formation from the pure elements: 0.158 eV per atom
DFT total energy: -6.140 eV/atom
Size of the total moment: 0.00 μB/f.u.

The structure in CIF format:
```
data_TbNdPa
_chemical_formula_sum 'Tb1 Nd1 Pa1'
_cell_length_a 3.4586
_cell_length_b 3.4586
_cell_length_c 8.6980
_cell_angle_alpha 90.00
_cell_angle_beta 90.00
_cell_angle_gamma 120.00
_space_group_name_H-M_alt 'P 1'
_space_group_IT_number 1
_space_group_name_Hall 'P 1'
loop_
_atom_site_label
_atom_site_type_symbol
_atom_site_fract_x
_atom_site_fract_y
_atom_site_fract_z
Tb1 Tb 0.0000 0.0000 0.0000
Nd1 Nd 0.6667 0.3333 0.3662
Pa1 Pa 0.3333 0.6667 0.6873
```